Entry 1:
CaScTl | PBE | optimized geometry

Geometry as extended XYZ:
```
3
Lattice="-2.653 -6.304 -2.019 -0.016 -5.659 -4.340 2.051 -2.407 1.661" Properties=species:S:1:pos:R:3 pbc="T T T"
Sc 0.581 -5.382 -0.836
Tl -1.145 -8.878 -3.770
Ca 1.997 -2.516 1.569
```

* energy relative to the lowest polymorph listed for this composition: 0.143 eV per atom
* crystal system: tetragonal



Entry 2:
SbPb3Se4 | PBE | optimized geometry

Geometry as extended XYZ:
```
8
Lattice="-5.954 -0.860 -1.437 1.670 -2.663 -5.327 2.262 -3.679 6.139" Properties=species:S:1:pos:R:3 pbc="T T T"
Pb -2.142 -1.761 -3.382
Pb -2.917 -3.150 0.660
Pb 0.895 -4.052 -1.285
Sb 0.000 0.000 0.000
Se -2.079 -4.594 -1.946
Se 0.058 -2.608 1.322
Se -2.977 -0.430 -0.718
Se 0.835 -1.331 -2.663
```

* energy relative to the lowest polymorph listed for this composition: 0.000 eV per atom
* formation energy (no corrections): -415.5 meV/atom
* crystal system: tetragonal



Entry 3:
Sm4SnS2 | PBE | optimized geometry

Geometry as extended XYZ:
```
14
Lattice="4.159 0.000 0.000 -2.080 6.616 0.000 0.000 0.000 13.688" Properties=species:S:1:pos:R:3 pbc="T T T"
Sm 2.080 3.523 1.590
Sm 2.080 3.523 5.254
Sm 0.000 3.093 12.098
Sm 0.000 3.093 8.434
Sm 2.080 5.759 10.266
Sm 0.000 0.857 3.422
Sm 2.080 0.000 0.000
Sm 2.080 0.000 6.844
Sn 2.080 1.449 10.266
Sn 0.000 5.167 3.422
S 0.000 1.766 6.025
S 2.080 4.850 12.869
S 0.000 1.766 0.819
S 2.080 4.850 7.663
```

* formation energy (no corrections): -1411.6 meV/atom
* crystal system: orthorhombic



Entry 4:
Sr8Mo | PBE | optimized geometry

Geometry as extended XYZ:
```
9
Lattice="8.525 -0.921 5.128 -9.879 -0.848 -1.225 1.896 -8.065 -5.585" Properties=species:S:1:pos:R:3 pbc="T T T"
Sr -0.327 -3.453 0.908
Sr 0.869 -6.380 -2.590
Sr -2.652 -2.961 -2.262
Sr -3.318 -0.874 1.040
Sr 6.959 -6.000 -0.305
Sr 1.964 -0.895 2.863
Sr -5.331 -5.952 -4.547
Sr 3.462 -2.985 -0.152
Mo 0.000 0.000 0.000
```

* crystal system: tetragonal



Entry 5:
KRbSr | PBE | optimized geometry

Geometry as extended XYZ:
```
3
Lattice="-4.410 0.995 -0.028 1.884 -1.816 3.686 2.403 10.769 4.078" Properties=species:S:1:pos:R:3 pbc="T T T"
Sr 0.013 0.057 0.022
K -1.542 3.509 2.517
Rb 1.406 6.381 5.197
```

* energy relative to the lowest polymorph listed for this composition: 0.034 eV per atom
* crystal system: trigonal



Entry 6:
Sr3Li2TiO6 | PBE | optimized geometry

Geometry as extended XYZ:
```
12
Lattice="5.730 0.000 0.000 -2.865 4.962 0.000 0.000 0.000 6.276" Properties=species:S:1:pos:R:3 pbc="T T T"
Sr 0.000 3.308 3.901
Sr 2.865 1.654 2.375
Sr 0.000 0.000 0.000
Li 2.865 1.654 5.004
Li 0.000 3.308 1.272
Ti 0.000 0.000 3.138
O 1.477 4.161 1.943
O 0.000 1.602 1.943
O -1.477 4.161 1.943
O 2.865 3.360 4.334
O 1.388 0.801 4.334
O 4.342 0.801 4.334
```

* formation energy (no corrections): -2529.5 meV/atom
* crystal system: trigonal



| no. | volume (Å³ per atom) | total magnetization (μB/f.u.) | total energy (eV/atom) |
| --- | --- | --- | --- |
| 1 | 28.36 | 0.4 | -3.710 |
| 2 | 29.17 | 0.0 | -4.064 |
| 3 | 26.91 | 0.5 | -5.859 |
| 4 | 47.32 | 4.1 | -2.316 |
| 5 | 69.39 | 0.0 | -1.158 |
| 6 | 14.87 | 0.0 | -6.406 |